Compound: MnCoRhW2
Source: the Alexandria database
Functional: PBE
Structure: optimized geometry

Results
ΔH_f (0 K), eV/f.u.: 7.40
D(E_F), states/eV/f.u.: 6.90
Size of the total moment, Bohr magnetons per cell: 1.89

Cell: 4.424 4.424 4.395 Å, 90.00 90.00 90.00°
Space group P4/mmm (No. 123)
Symmetry-distinct sites (fractional):
Mn 0.000 0.000 0.000
Co 0.500 0.500 0.500
Rh 0.000 0.000 0.500
W 0.000 0.500 0.000